# AcLa2Pd2 | Alexandria via LeMat-Bulk | GGA-PBE | optimized geometry
# Calculated formation energy (eV/atom): -0.623
data_AcLa2Pd2
_cell_length_a 8.325
_cell_length_b 8.325
_cell_length_c 4.131
_cell_angle_alpha 90.00
_cell_angle_beta 90.00
_cell_angle_gamma 90.00
_space_group_name_H-M_alt 'P 4/m b m'
_space_group_IT_number 127
_space_group_name_Hall '-P 4 2ab'
loop_
_atom_site_label
_atom_site_type_symbol
_atom_site_fract_x
_atom_site_fract_y
_atom_site_fract_z
_atom_site_occupancy
Ac1 Ac 0.000 0.000 0.000 1
La1 La 0.161 0.339 0.500 1
Pd1 Pd 0.127 0.627 0.000 1

***

# Ac2LaPd9 | Alexandria via LeMat-Bulk | GGA-PBE | optimized geometry
# Energy above the lowest structure with this stoichiometry (kJ/mol of atoms): 3.0
# Calculated formation energy (eV/atom): -0.712
data_Ac2LaPd9
_cell_length_a 5.5133
_cell_length_b 5.5133
_cell_length_c 27.6657
_cell_angle_alpha 90.00
_cell_angle_beta 90.00
_cell_angle_gamma 120.00
_space_group_name_H-M_alt 'R -3 m'
_space_group_IT_number 166
_space_group_name_Hall '-R 3 2"'
loop_
_atom_site_label
_atom_site_type_symbol
_atom_site_fract_x
_atom_site_fract_y
_atom_site_fract_z
_atom_site_occupancy
Ac1 Ac 0.0000 0.0000 0.1367 1
La1 La 0.0000 0.0000 0.0000 1
Pd1 Pd 0.0000 0.0000 0.3330 1
Pd2 Pd 0.0000 0.0000 0.5000 1
Pd3 Pd 0.0018 0.5009 0.9170 1